1.
LuTiRu4: relaxed, PBE-GGA.

Output
Density of states at the Fermi level: 6.48 states/eV per cell
Symmetry: F-43m (216)
Total DFT energy (no corrections): -8.49 eV per atom
E_form: -0.2377 eV/atom

Unit cell a=5.184 b=5.184 c=5.184 alpha=60.00 beta=60.00 gamma=60.00
Fractional positions:
Lu 0.000 0.000 0.000
Ti 0.750 0.750 0.750
Ru 0.375 0.375 0.375
Ru 0.375 0.375 0.874
Ru 0.375 0.874 0.375
Ru 0.874 0.375 0.375


2.
AsPCCl2: relaxed, PBE-GGA.

Output
Density of states at the Fermi level: 3.24 states/eV per cell
Symmetry: P4/mmm (123)
Formation energy (no corrections): 1.250 eV/atom
Total DFT energy (no corrections): -3.35 eV per atom
E above lowest polymorph: 0 meV per atom

Unit cell a=4.261 b=4.261 c=4.454 alpha=90.00 beta=90.00 gamma=90.00
Fractional positions:
As 0.000 0.000 0.000
P 0.500 0.500 0.000
C 0.500 0.500 0.500
Cl 0.000 0.500 0.500
Cl 0.500 0.000 0.500


3.
H3PtS: relaxed, PBE-GGA.

Output
Density of states at the Fermi level: 2.08 states/eV per cell
Symmetry: Pm-3m (221)
Total DFT energy (no corrections): -3.37 eV per atom
E above lowest polymorph: 0 meV per atom

Unit cell a=3.631 b=3.631 c=3.631 alpha=90.00 beta=90.00 gamma=90.00
Fractional positions:
H 0.000 0.000 0.500
H 0.000 0.500 0.000
H 0.500 0.000 0.000
Pt 0.000 0.000 0.000
S 0.500 0.500 0.500


4.
Ac3AlZn2: relaxed, PBE-GGA.

Output
Density of states at the Fermi level: 12.55 states/eV per cell
Symmetry: P-3m1 (164)
Total DFT energy (no corrections): -3.34 eV per atom
E_form: -0.2349 eV/atom

Unit cell a=5.544 b=5.544 c=13.633 alpha=90.00 beta=90.00 gamma=120.00
Fractional positions:
Ac 0.000 0.000 0.249
Ac 0.000 0.000 0.751
Ac 0.333 0.667 0.417
Ac 0.333 0.667 0.919
Ac 0.667 0.333 0.081
Ac 0.667 0.333 0.583
Al 0.333 0.667 0.668
Al 0.667 0.333 0.332
Zn 0.000 0.000 0.000
Zn 0.000 0.000 0.500
Zn 0.333 0.667 0.167
Zn 0.667 0.333 0.833


5.
HfHW3: relaxed, PBE-GGA.

Output
Density of states at the Fermi level: 4.78 states/eV per cell
Symmetry: Pm-3m (221)
Total DFT energy (no corrections): -7.15 eV per atom
E above lowest polymorph: 2917 meV per atom

Unit cell a=4.822 b=4.822 c=4.822 alpha=90.00 beta=90.00 gamma=90.00
Fractional positions:
Hf 0.000 0.000 0.000
H 0.500 0.500 0.500
W 0.000 0.000 0.500
W 0.000 0.500 0.000
W 0.500 0.000 0.000


6.
AlCu3Pd: relaxed, PBE-GGA.

Output
Density of states at the Fermi level: 1.84 states/eV per cell
Symmetry: Pm-3m (221)
Total DFT energy (no corrections): -3.56 eV per atom
E_form: 0.6822 eV/atom
E above lowest polymorph: 0 meV per atom

Unit cell a=4.385 b=4.385 c=4.385 alpha=90.00 beta=90.00 gamma=90.00
Fractional positions:
Al 0.000 0.000 0.000
Cu 0.000 0.000 0.500
Cu 0.000 0.500 0.000
Cu 0.500 0.000 0.000
Pd 0.500 0.500 0.500


7.
HgSeCl: relaxed, PBE-GGA.

Output
Density of states at the Fermi level: 17.98 states/eV per cell
Symmetry: F-43m (216)
Formation energy (no corrections): 0.170 eV/atom
Total DFT energy (no corrections): -1.71 eV per atom
E above lowest polymorph: 532 meV per atom

Unit cell a=6.796 b=6.796 c=6.796 alpha=90.00 beta=90.00 gamma=90.00
Fractional positions:
Hg 0.000 0.000 0.000
Hg 0.000 0.500 0.500
Hg 0.500 0.000 0.500
Hg 0.500 0.500 0.000
Se 0.250 0.250 0.750
Se 0.250 0.750 0.250
Se 0.750 0.250 0.250
Se 0.750 0.750 0.750
Cl 0.250 0.250 0.250
Cl 0.250 0.750 0.750
Cl 0.750 0.250 0.750
Cl 0.750 0.750 0.250


8.
SrSc2Ga6: relaxed, PBE-GGA.

Output
Density of states at the Fermi level: 2.07 states/eV per cell
Symmetry: Immm (71)
Total DFT energy (no corrections): -4.11 eV per atom
E_form: -0.4959 eV/atom

Unit cell a=7.515 b=7.515 c=7.515 alpha=146.65 beta=122.77 gamma=67.88
Fractional positions:
Sr 0.000 0.000 0.000
Sc 0.378 0.878 0.500
Sc 0.622 0.122 0.500
Ga 0.007 0.309 0.698
Ga 0.327 0.500 0.827
Ga 0.390 0.691 0.698
Ga 0.610 0.309 0.302
Ga 0.673 0.500 0.173
Ga 0.993 0.691 0.302


9.
AlRu: relaxed, PBE-GGA.

Output
Density of states at the Fermi level: 4.22 states/eV per cell
Symmetry: R-3m (166)
Total DFT energy (no corrections): -6.90 eV per atom
E_form: -0.3942 eV/atom

Unit cell a=2.885 b=2.885 c=11.817 alpha=90.00 beta=90.00 gamma=120.00
Fractional positions:
Al 0.000 0.000 0.000
Al 0.333 0.667 0.667
Al 0.667 0.333 0.333
Ru 0.000 0.000 0.500
Ru 0.333 0.667 0.167
Ru 0.667 0.333 0.833


10.
SrPbCl2: relaxed, PBE-GGA.

Output
Density of states at the Fermi level: 5.66 states/eV per cell
Symmetry: I4/mmm (139)
Formation energy (no corrections): -1.089 eV/atom
Total DFT energy (no corrections): -3.36 eV per atom
E above lowest polymorph: 381 meV per atom

Unit cell a=5.012 b=5.012 c=9.004 alpha=90.00 beta=90.00 gamma=90.00
Fractional positions:
Sr 0.000 0.000 0.000
Sr 0.500 0.500 0.500
Pb 0.000 0.000 0.500
Pb 0.500 0.500 0.000
Cl 0.000 0.500 0.250
Cl 0.000 0.500 0.750
Cl 0.500 0.000 0.250
Cl 0.500 0.000 0.750


11.
MgTc2P: relaxed, PBE-GGA.

Output
Density of states at the Fermi level: 6.31 states/eV per cell
Symmetry: C2/m (12)
Total DFT energy (no corrections): -7.04 eV per atom
E_form: -0.1011 eV/atom
E above lowest polymorph: 230 meV per atom

Unit cell a=9.725 b=3.004 c=4.596 alpha=90.00 beta=118.07 gamma=90.00
Fractional positions:
Mg 0.000 0.000 0.000
Mg 0.500 0.500 0.000
Tc 0.211 0.000 0.710
Tc 0.289 0.500 0.290
Tc 0.711 0.500 0.710
Tc 0.789 0.000 0.290
P 0.000 0.500 0.500
P 0.500 0.000 0.500


12.
Pr4Ho5Al: relaxed, PBE-GGA.

Output
Density of states at the Fermi level: 12.39 states/eV per cell
Symmetry: P4/mmm (123)
Total DFT energy (no corrections): -4.64 eV per atom
E_form: -0.0625 eV/atom
E above lowest polymorph: 0 meV per atom

Unit cell a=3.603 b=3.603 c=24.286 alpha=90.00 beta=90.00 gamma=90.00
Fractional positions:
Pr 0.000 0.000 0.105
Pr 0.000 0.000 0.317
Pr 0.000 0.000 0.683
Pr 0.000 0.000 0.895
Ho 0.500 0.500 0.000
Ho 0.500 0.500 0.211
Ho 0.500 0.500 0.425
Ho 0.500 0.500 0.575
Ho 0.500 0.500 0.789
Al 0.000 0.000 0.500